1.
# SrCd4Pt2 | OQMD via LeMat-Bulk | PBE | relaxed
data_SrCd4Pt2
_chemical_formula_sum 'Sr2 Cd8 Pt4'
_symmetry_space_group_name_H-M 'P 1'
_symmetry_Int_Tables_number 1
_symmetry_space_group_name_Hall 'P 1'
_cell_length_a 8.296
_cell_length_b 8.296
_cell_length_c 4.522
_cell_angle_alpha 90.00
_cell_angle_beta 90.00
_cell_angle_gamma 90.00
loop_
_atom_site_label
_atom_site_fract_x
_atom_site_fract_y
_atom_site_fract_z
_atom_site_occupancy
Pt1 0.780 0.220 0.500 1
Pt2 0.220 0.780 0.500 1
Pt3 0.720 0.720 0.000 1
Pt4 0.280 0.280 0.000 1
Cd1 0.156 0.593 0.000 1
Cd2 0.344 0.093 0.500 1
Cd3 0.907 0.656 0.500 1
Cd4 0.407 0.844 0.000 1
Cd5 0.593 0.156 0.000 1
Cd6 0.844 0.407 0.000 1
Cd7 0.093 0.344 0.500 1
Cd8 0.656 0.907 0.500 1
Sr1 0.000 0.000 0.000 1
Sr2 0.500 0.500 0.500 1
# crystal system = tetragonal
# space group = P4_2/mnm, No. 136
# size of the total moment = 0.0 μB per formula unit



2.
# Ho2AlInFe4 | OQMD via LeMat-Bulk | PBE | relaxed
data_Ho2AlInFe4
_chemical_formula_sum 'Ho2 Al1 In1 Fe4'
_symmetry_space_group_name_H-M 'P 1'
_symmetry_Int_Tables_number 1
_symmetry_space_group_name_Hall 'P 1'
_cell_length_a 3.966
_cell_length_b 4.971
_cell_length_c 6.995
_cell_angle_alpha 90.00
_cell_angle_beta 90.00
_cell_angle_gamma 90.00
loop_
_atom_site_label
_atom_site_fract_x
_atom_site_fract_y
_atom_site_fract_z
_atom_site_occupancy
Fe1 0.000 0.250 0.494 1
Fe2 0.000 0.750 0.494 1
Fe3 0.500 0.000 0.583 1
Fe4 0.500 0.500 0.404 1
Ho1 0.500 0.500 0.803 1
Ho2 0.500 0.000 0.200 1
In1 0.000 0.000 0.851 1
Al1 0.000 0.500 0.170 1
# crystal system = orthorhombic
# space group = Pmm2, No. 25
# size of the total moment = 7.3 μB per formula unit



3.
# LiTh2Te6 | OQMD via LeMat-Bulk | PBE | relaxed
data_LiTh2Te6
_chemical_formula_sum 'Li1 Th2 Te6'
_symmetry_space_group_name_H-M 'P 1'
_symmetry_Int_Tables_number 1
_symmetry_space_group_name_Hall 'P 1'
_cell_length_a 11.719
_cell_length_b 11.719
_cell_length_c 11.719
_cell_angle_alpha 158.55
_cell_angle_beta 149.48
_cell_angle_gamma 37.61
loop_
_atom_site_label
_atom_site_fract_x
_atom_site_fract_y
_atom_site_fract_z
_atom_site_occupancy
Te1 0.342 0.591 0.751 1
Te2 0.778 0.778 0.000 1
Te3 0.840 0.591 0.249 1
Te4 0.658 0.409 0.249 1
Te5 0.160 0.409 0.751 1
Te6 0.222 0.222 0.000 1
Li1 0.000 0.000 0.000 1
Th1 0.327 0.827 0.500 1
Th2 0.673 0.173 0.500 1
# crystal system = orthorhombic
# space group = Immm, No. 71
# size of the total moment = 0.0 μB per formula unit



4.
# YHfSb | OQMD via LeMat-Bulk | PBE | relaxed
data_YHfSb
_chemical_formula_sum 'Y1 Hf1 Sb1'
_symmetry_space_group_name_H-M 'P 1'
_symmetry_Int_Tables_number 1
_symmetry_space_group_name_Hall 'P 1'
_cell_length_a 4.886
_cell_length_b 4.886
_cell_length_c 4.886
_cell_angle_alpha 60.00
_cell_angle_beta 60.00
_cell_angle_gamma 60.00
loop_
_atom_site_label
_atom_site_fract_x
_atom_site_fract_y
_atom_site_fract_z
_atom_site_occupancy
Sb1 0.000 0.000 0.000 1
Hf1 0.250 0.250 0.250 1
Y1 0.750 0.750 0.750 1
# crystal system = cubic
# space group = F-43m, No. 216
# size of the total moment = 0.7 μB per formula unit



5.
# SrLuMgTe3 | OQMD via LeMat-Bulk | PBE | relaxed
data_SrLuMgTe3
_chemical_formula_sum 'Sr2 Lu2 Mg2 Te6'
_symmetry_space_group_name_H-M 'P 1'
_symmetry_Int_Tables_number 1
_symmetry_space_group_name_Hall 'P 1'
_cell_length_a 7.897
_cell_length_b 7.897
_cell_length_c 11.237
_cell_angle_alpha 90.00
_cell_angle_beta 90.00
_cell_angle_gamma 147.78
loop_
_atom_site_label
_atom_site_fract_x
_atom_site_fract_y
_atom_site_fract_z
_atom_site_occupancy
Te1 0.363 0.637 0.055 1
Te2 0.363 0.637 0.445 1
Te3 0.906 0.094 0.750 1
Te4 0.094 0.906 0.250 1
Te5 0.637 0.363 0.945 1
Te6 0.637 0.363 0.555 1
Sr1 0.232 0.768 0.750 1
Sr2 0.768 0.232 0.250 1
Lu1 0.000 0.000 0.500 1
Lu2 0.000 0.000 0.000 1
Mg1 0.523 0.477 0.750 1
Mg2 0.477 0.523 0.250 1
# crystal system = orthorhombic
# space group = Cmcm, No. 63
# size of the total moment = 0.2 μB per formula unit



6.
# BiPd10 | OQMD via LeMat-Bulk | PBE | relaxed
data_BiPd10
_chemical_formula_sum 'Bi2 Pd20'
_symmetry_space_group_name_H-M 'P 1'
_symmetry_Int_Tables_number 1
_symmetry_space_group_name_Hall 'P 1'
_cell_length_a 4.643
_cell_length_b 2.985
_cell_length_c 32.114
_cell_angle_alpha 90.00
_cell_angle_beta 93.00
_cell_angle_gamma 90.00
loop_
_atom_site_label
_atom_site_fract_x
_atom_site_fract_y
_atom_site_fract_z
_atom_site_occupancy
Pd1 0.663 0.250 0.226 1
Pd2 0.147 0.750 0.569 1
Pd3 0.342 0.250 0.845 1
Pd4 0.566 0.750 0.293 1
Pd5 0.750 0.750 0.500 1
Pd6 0.837 0.250 0.786 1
Pd7 0.250 0.250 0.500 1
Pd8 0.073 0.250 0.290 1
Pd9 0.039 0.250 0.639 1
Pd10 0.434 0.250 0.707 1
Pd11 0.927 0.750 0.710 1
Pd12 0.163 0.750 0.214 1
Pd13 0.961 0.750 0.361 1
Pd14 0.353 0.750 0.431 1
Pd15 0.853 0.250 0.431 1
Pd16 0.459 0.250 0.361 1
Pd17 0.337 0.750 0.774 1
Pd18 0.658 0.750 0.155 1
Pd19 0.647 0.250 0.569 1
Pd20 0.541 0.750 0.639 1
Bi1 0.848 0.750 0.865 1
Bi2 0.152 0.250 0.135 1
# crystal system = monoclinic
# space group = P2_1/m, No. 11
# energy above the most stable polymorph in this dataset = 60 meV/atom



7.
# PaBePd | OQMD via LeMat-Bulk | PBE | relaxed
data_PaBePd
_chemical_formula_sum 'Pa1 Be1 Pd1'
_symmetry_space_group_name_H-M 'P 1'
_symmetry_Int_Tables_number 1
_symmetry_space_group_name_Hall 'P 1'
_cell_length_a 4.301
_cell_length_b 4.301
_cell_length_c 4.301
_cell_angle_alpha 60.00
_cell_angle_beta 60.00
_cell_angle_gamma 60.00
loop_
_atom_site_label
_atom_site_fract_x
_atom_site_fract_y
_atom_site_fract_z
_atom_site_occupancy
Pa1 0.250 0.250 0.250 1
Pd1 0.750 0.750 0.750 1
Be1 0.000 0.000 0.000 1
# crystal system = cubic
# space group = F-43m, No. 216
# size of the total moment = 0.4 μB per formula unit
# energy above the most stable polymorph in this dataset = 0 meV/atom



8.
# Zr5Pb3 | OQMD via LeMat-Bulk | PBE | relaxed
data_Zr5Pb3
_chemical_formula_sum 'Zr10 Pb6'
_symmetry_space_group_name_H-M 'P 1'
_symmetry_Int_Tables_number 1
_symmetry_space_group_name_Hall 'P 1'
_cell_length_a 8.646
_cell_length_b 8.646
_cell_length_c 5.873
_cell_angle_alpha 90.00
_cell_angle_beta 90.00
_cell_angle_gamma 120.00
loop_
_atom_site_label
_atom_site_fract_x
_atom_site_fract_y
_atom_site_fract_z
_atom_site_occupancy
Zr1 0.000 0.247 0.250 1
Zr2 0.333 0.667 0.500 1
Zr3 0.753 0.753 0.250 1
Zr4 0.667 0.333 0.000 1
Zr5 0.667 0.333 0.500 1
Zr6 0.333 0.667 0.000 1
Zr7 0.247 0.000 0.250 1
Zr8 0.753 0.000 0.750 1
Zr9 0.000 0.753 0.750 1
Zr10 0.247 0.247 0.750 1
Pb1 0.391 0.391 0.250 1
Pb2 0.609 0.609 0.750 1
Pb3 0.609 0.000 0.250 1
Pb4 0.000 0.609 0.250 1
Pb5 0.391 0.000 0.750 1
Pb6 0.000 0.391 0.750 1
# crystal system = hexagonal
# space group = P6_3/mcm, No. 193
# size of the total moment = 0.0 μB per formula unit
# energy above the most stable polymorph in this dataset = 0 meV/atom



no.,final energy (eV/atom)
1,-2.953
2,-6.367
3,-4.957
4,-7.002
5,-4.002
6,-5.069
7,-6.035
8,-6.986